[1]
A plane-wave DFT calculation with SCAN was carried out for a PBEsol-optimized structure of Ti2SiN.

Calculated values
The uncorrected formation energy comes out at -0.785 eV/atom. The calculation puts the density of states at the Fermi level at 0.53 states/eV per atom. The size of the total moment is 0.00 μB/f.u.

Cell: 5.9540 5.9540 6.1853 Å, 90.00 90.00 90.00°
With the nearest neighbours (Å) after each atom.
Space group I-42d (No. 122)
Inequivalent atoms, fractional coordinates:
Ti 0.1667 0.2500 0.1250 x8  2 N 1.95
Si 0.0000 0.0000 0.5000 x4  4 Ti 2.60
N 0.0000 0.0000 0.0000 x4  4 Ti 1.95

[2]
A plane-wave DFT calculation with SCAN was carried out for a PBEsol-optimized structure of TlInTc.

Calculated values
The calculation puts the density of states at the Fermi level at 0.91 states/eV per atom. The value obtained for the formation energy from the elements is 1.0953 eV/atom. The size of the total moment is 2.83 μB/f.u.

Cell: 6.4179 6.4179 6.4179 Å, 90.00 90.00 90.00°
With the nearest neighbours (Å) after each atom.
Space group F-43m (No. 216)
Inequivalent atoms, fractional coordinates:
Tl 0.0000 0.0000 0.0000 x4  4 In 2.78, 4 Tc 2.78
In 0.2500 0.2500 0.2500 x4  4 Tl 2.78
Tc 0.2500 0.2500 0.7500 x4  4 Tl 2.78